1.
Compound: RbSr3Rh
Source: the Alexandria database
Functional: PBE-GGA
Structure: optimized geometry

Computed properties:
DOS at the Fermi energy = 0.644 states/eV/atom
Mass density = 3.24 Mg/m³
Formation energy from the elements = -54 meV per atom
Energy relative to the lowest polymorph listed for this composition = 0.054 eV per atom

a b c (Å): 10.876 7.112 7.906
angles (deg): 90.00 89.71 49.10
Fractional positions:
1 Sr 0.821 0.681 0.330
2 Sr 0.044 0.942 0.214
3 Sr 0.045 0.828 0.713
4 Sr 0.598 0.386 0.218
5 Sr 0.821 0.534 0.830
6 Sr 0.598 0.275 0.718
7 Rh 0.822 0.922 0.999
8 Rh 0.821 0.293 0.499
9 Rb 0.322 0.029 0.550
10 Rb 0.320 0.186 0.050

***

2.
Compound: RbSr3Rh
Source: the Alexandria database
Functional: PBE-GGA
Structure: optimized geometry

Computed properties:
DOS at the Fermi energy = 0.692 states/eV/atom
Mass density = 3.41 Mg/m³
Formation energy from the elements = 92 meV per atom
Energy relative to the lowest polymorph listed for this composition = 0.199 eV per atom

a b c (Å): 20.733 9.549 9.549
angles (deg): 139.31 151.16 28.84
Fractional positions:
1 Sr 0.791 0.179 0.821
2 Sr 0.209 0.821 0.179
3 Sr 0.937 0.368 0.632
4 Sr 0.063 0.632 0.368
5 Sr 0.497 0.694 0.306
6 Sr 0.503 0.306 0.694
7 Rh 0.119 0.738 0.262
8 Rh 0.881 0.262 0.738
9 Rb 0.703 0.867 0.133
10 Rb 0.297 0.133 0.867

***

3.
Compound: RbSr3Rh
Source: the Alexandria database
Functional: PBE-GGA
Structure: optimized geometry

Computed properties:
DOS at the Fermi energy = 0.622 states/eV/atom
Mass density = 2.79 Mg/m³
Formation energy from the elements = -42 meV per atom
Energy relative to the lowest polymorph listed for this composition = 0.065 eV per atom

a b c (Å): 11.499 11.499 11.499
angles (deg): 60.00 60.00 60.00
Fractional positions:
1 Sr 0.678 0.322 0.322
2 Sr 0.928 0.572 0.572
3 Sr 0.572 0.572 0.928
4 Sr 0.572 0.928 0.928
5 Sr 0.928 0.572 0.928
6 Sr 0.678 0.322 0.678
7 Sr 0.572 0.928 0.572
8 Sr 0.928 0.928 0.572
9 Sr 0.322 0.678 0.322
10 Sr 0.322 0.678 0.678
11 Sr 0.322 0.322 0.678
12 Sr 0.678 0.678 0.322
13 Rh 0.625 0.625 0.625
14 Rh 0.625 0.125 0.625
15 Rh 0.125 0.625 0.625
16 Rh 0.625 0.625 0.125
17 Rb 0.125 0.125 0.125
18 Rb 0.125 0.625 0.125
19 Rb 0.625 0.125 0.125
20 Rb 0.125 0.125 0.625

***

4.
Compound: RbSr3Rh
Source: the Alexandria database
Functional: PBE-GGA
Structure: optimized geometry

Computed properties:
DOS at the Fermi energy = 0.653 states/eV/atom
Mass density = 1.90 Mg/m³
Formation energy from the elements = 192 meV per atom
Energy relative to the lowest polymorph listed for this composition = 0.300 eV per atom

a b c (Å): 4.265 12.112 12.112
angles (deg): 140.84 90.00 90.00
Fractional positions:
1 Sr 0.500 0.183 0.340
2 Sr 0.500 0.660 0.817
3 Sr 0.000 0.284 0.716
4 Rh 0.000 0.402 0.598
5 Rb 0.500 0.099 0.901

***

5.
Compound: RbSr3Rh
Source: the Alexandria database
Functional: PBE-GGA
Structure: optimized geometry

Computed properties:
DOS at the Fermi energy = 1.545 states/eV/atom
Mass density = 1.92 Mg/m³
Formation energy from the elements = 561 meV per atom
Energy relative to the lowest polymorph listed for this composition = 0.668 eV per atom

a b c (Å): 16.761 16.761 6.274
angles (deg): 90.00 90.00 153.67
Site moments in Bohr magnetons follow the coordinates.
Fractional positions:
1 Sr 0.547 0.978 0.250  -0.01
2 Sr 0.022 0.453 0.250  -0.01
3 Sr 0.978 0.547 0.750  -0.01
4 Sr 0.453 0.022 0.750  -0.01
5 Sr 0.000 0.000 0.000  0.27
6 Sr 0.000 0.000 0.500  0.27
7 Rh 0.226 0.774 0.250  0.00
8 Rh 0.774 0.226 0.750  0.00
9 Rb 0.126 0.874 0.250  0.01
10 Rb 0.874 0.126 0.750  0.01

***

6.
Compound: RbSr3Rh
Source: the Alexandria database
Functional: PBE-GGA
Structure: optimized geometry

Computed properties:
DOS at the Fermi energy = 1.156 states/eV/atom
Mass density = 2.69 Mg/m³
Formation energy from the elements = 164 meV per atom
Energy relative to the lowest polymorph listed for this composition = 0.271 eV per atom

a b c (Å): 4.919 4.919 11.532
angles (deg): 90.00 90.00 90.00
Fractional positions:
1 Sr 0.000 0.000 0.700
2 Sr 0.500 0.000 0.441
3 Sr 0.000 0.500 0.441
4 Rh 0.500 0.500 0.593
5 Rb 0.000 0.000 0.089

***

Q: Among the records above, which one has the lowest mass density?
A: number 4